Below is an optimized crystal structure of LaCu3Se, with properties calculated at the GGA-PBEsol level.

Lattice parameters (Å, degrees): 5.022 5.022 5.022 90.00 90.00 90.00
Positions (direct):
Cu1 0.500 0.000 0.000
Cu2 0.000 0.000 0.500
Cu3 0.000 0.500 0.000
La1 0.000 0.000 0.000
Se1 0.500 0.500 0.500

- D(E_F): 4.209 states/eV/cell
- Formation energy (no corrections): 1.391 eV/atom
- Spin magnetization: 0.000 μB per formula unit
- Space-group type: Pm-3m, No. 221